Here is a relaxed Na3Mn3WSe8 crystal from the Alexandria database. Energies are from PBE-GGA.

```
data_Na3Mn3WSe8
_cell_length_a 8.277
_cell_length_b 8.277
_cell_length_c 8.277
_cell_angle_alpha 54.32
_cell_angle_beta 54.32
_cell_angle_gamma 54.32
_symmetry_space_group_name_H-M 'P 1'
_symmetry_Int_Tables_number 1
_symmetry_space_group_name_Hall 'P 1'
loop_
_atom_site_label
_atom_site_fract_x
_atom_site_fract_y
_atom_site_fract_z
Na1 0.000 0.500 0.500
Na2 0.500 0.000 0.500
Na3 0.500 0.500 0.000
Mn1 0.000 0.000 0.500
Mn2 0.000 0.500 0.000
Mn3 0.500 0.000 0.000
W1 0.500 0.500 0.500
Se1 0.233 0.233 0.233
Se2 0.241 0.732 0.732
Se3 0.268 0.268 0.759
Se4 0.268 0.759 0.268
Se5 0.732 0.241 0.732
Se6 0.732 0.732 0.241
Se7 0.759 0.268 0.268
Se8 0.767 0.767 0.767
```

Calculated total energy (eV/atom): -5.412
SG: R-3m, No. 166

Here is a relaxed CsYSn2 crystal from the Alexandria database. Energies are from PBE-GGA.

```
data_CsYSn2
_cell_length_a 11.237
_cell_length_b 11.237
_cell_length_c 11.237
_cell_angle_alpha 148.43
_cell_angle_beta 148.43
_cell_angle_gamma 45.24
_symmetry_space_group_name_H-M 'P 1'
_symmetry_Int_Tables_number 1
_symmetry_space_group_name_Hall 'P 1'
loop_
_atom_site_label
_atom_site_fract_x
_atom_site_fract_y
_atom_site_fract_z
Cs1 0.000 0.000 0.000
Cs2 0.750 0.250 0.500
Y1 0.250 0.750 0.500
Y2 0.500 0.500 0.000
Sn1 0.298 0.625 0.173
Sn2 0.375 0.548 0.673
Sn3 0.452 0.125 0.827
Sn4 0.875 0.702 0.327
```

Energy relative to the lowest polymorph listed for this composition (meV/atom): 467.7
SG: I-42d, No. 122
Formation energy (eV/atom): 0.0232

Here is a relaxed LiGeB crystal from the Alexandria database. Energies are from PBE-GGA.

```
data_LiGeB
_cell_length_a 4.298
_cell_length_b 4.678
_cell_length_c 5.264
_cell_angle_alpha 111.71
_cell_angle_beta 108.56
_cell_angle_gamma 100.39
_symmetry_space_group_name_H-M 'P 1'
_symmetry_Int_Tables_number 1
_symmetry_space_group_name_Hall 'P 1'
loop_
_atom_site_label
_atom_site_fract_x
_atom_site_fract_y
_atom_site_fract_z
Li1 0.000 0.000 0.000
Li2 0.378 0.527 0.913
Ge1 0.554 0.009 0.466
Ge2 0.969 0.662 0.415
B1 0.419 0.996 0.809
B2 0.602 0.189 0.170
```

SG: P1, No. 1
Formation energy (eV/atom): 0.1481

Here is a relaxed AgPd2Br crystal from the Alexandria database. Energies are from PBE-GGA.

```
data_AgPd2Br
_cell_length_a 10.061
_cell_length_b 10.061
_cell_length_c 10.061
_cell_angle_alpha 157.11
_cell_angle_beta 157.11
_cell_angle_gamma 32.60
_symmetry_space_group_name_H-M 'P 1'
_symmetry_Int_Tables_number 1
_symmetry_space_group_name_Hall 'P 1'
loop_
_atom_site_label
_atom_site_fract_x
_atom_site_fract_y
_atom_site_fract_z
Ag1 0.000 0.000 0.000
Ag2 0.750 0.250 0.500
Pd1 0.131 0.625 0.006
Pd2 0.375 0.381 0.506
Pd3 0.619 0.125 0.994
Pd4 0.875 0.869 0.494
Br1 0.250 0.750 0.500
Br2 0.500 0.500 0.000
```

Energy relative to the lowest polymorph listed for this composition (meV/atom): 0.0
SG: I-42d, No. 122

Here is a relaxed Y2InCu crystal from the Alexandria database. Energies are from PBE-GGA.

```
data_Y2InCu
_cell_length_a 5.142
_cell_length_b 5.142
_cell_length_c 5.142
_cell_angle_alpha 60.00
_cell_angle_beta 60.00
_cell_angle_gamma 60.00
_symmetry_space_group_name_H-M 'P 1'
_symmetry_Int_Tables_number 1
_symmetry_space_group_name_Hall 'P 1'
loop_
_atom_site_label
_atom_site_fract_x
_atom_site_fract_y
_atom_site_fract_z
Y1 0.000 0.000 0.000
Y2 0.250 0.250 0.250
In1 0.500 0.500 0.500
Cu1 0.750 0.750 0.750
```

SG: F-43m, No. 216
Formation energy (eV/atom): 0.0921

Here is a relaxed Ti2CoMo crystal from the Alexandria database. Energies are from PBE-GGA.

```
data_Ti2CoMo
_cell_length_a 4.333
_cell_length_b 4.333
_cell_length_c 4.333
_cell_angle_alpha 60.00
_cell_angle_beta 60.00
_cell_angle_gamma 60.00
_symmetry_space_group_name_H-M 'P 1'
_symmetry_Int_Tables_number 1
_symmetry_space_group_name_Hall 'P 1'
loop_
_atom_site_label
_atom_site_fract_x
_atom_site_fract_y
_atom_site_fract_z
Ti1 0.250 0.250 0.250
Ti2 0.750 0.750 0.750
Co1 0.000 0.000 0.000
Mo1 0.500 0.500 0.500
```

SG: Fm-3m, No. 225
Formation energy (eV/atom): -0.2672

Here is a relaxed Pu5PtRh2 crystal from the Alexandria database. Energies are from PBE-GGA.

```
data_Pu5PtRh2
_cell_length_a 8.338
_cell_length_b 8.338
_cell_length_c 8.338
_cell_angle_alpha 126.19
_cell_angle_beta 126.19
_cell_angle_gamma 79.58
_symmetry_space_group_name_H-M 'P 1'
_symmetry_Int_Tables_number 1
_symmetry_space_group_name_Hall 'P 1'
loop_
_atom_site_label
_atom_site_fract_x
_atom_site_fract_y
_atom_site_fract_z
Pu1 0.000 0.000 0.000
Pu2 0.016 0.516 0.830
Pu3 0.186 0.016 0.500
Pu4 0.314 0.814 0.830
Pu5 0.484 0.314 0.500
Pu6 0.500 0.500 0.000
Pu7 0.516 0.686 0.500
Pu8 0.686 0.186 0.170
Pu9 0.814 0.984 0.500
Pu10 0.984 0.484 0.170
Pt1 0.250 0.250 0.000
Pt2 0.750 0.750 0.000
Rh1 0.135 0.365 0.500
Rh2 0.365 0.865 0.229
Rh3 0.635 0.135 0.771
Rh4 0.865 0.635 0.500
```

Energy relative to the lowest polymorph listed for this composition (meV/atom): 0.0
SG: I4/mcm, No. 140
Formation energy (eV/atom): -0.4463

Here is a relaxed Sr2LiAgH crystal from the Alexandria database. Energies are from PBE-GGA.

```
data_Sr2LiAgH
_cell_length_a 6.645
_cell_length_b 4.528
_cell_length_c 9.518
_cell_angle_alpha 90.00
_cell_angle_beta 109.95
_cell_angle_gamma 90.00
_symmetry_space_group_name_H-M 'P 1'
_symmetry_Int_Tables_number 1
_symmetry_space_group_name_Hall 'P 1'
loop_
_atom_site_label
_atom_site_fract_x
_atom_site_fract_y
_atom_site_fract_z
Sr1 0.230 0.250 0.428
Sr2 0.270 0.750 0.053
Sr3 0.730 0.250 0.947
Sr4 0.770 0.750 0.572
Li1 0.335 0.750 0.704
Li2 0.665 0.250 0.296
Ag1 0.155 0.250 0.781
Ag2 0.845 0.750 0.219
H1 0.383 0.750 0.527
H2 0.617 0.250 0.473
```

Energy relative to the lowest polymorph listed for this composition (meV/atom): 0.0
SG: P2_1/m, No. 11

Here is a relaxed Mn3RhI crystal from the Alexandria database. Energies are from PBE-GGA.

```
data_Mn3RhI
_cell_length_a 4.915
_cell_length_b 4.915
_cell_length_c 4.915
_cell_angle_alpha 90.00
_cell_angle_beta 90.00
_cell_angle_gamma 90.00
_symmetry_space_group_name_H-M 'P 1'
_symmetry_Int_Tables_number 1
_symmetry_space_group_name_Hall 'P 1'
loop_
_atom_site_label
_atom_site_fract_x
_atom_site_fract_y
_atom_site_fract_z
Mn1 0.000 0.000 0.500
Mn2 0.000 0.500 0.000
Mn3 0.500 0.000 0.000
Rh1 0.000 0.000 0.000
I1 0.500 0.500 0.500
```

Energy relative to the lowest polymorph listed for this composition (meV/atom): 0.0
SG: Pm-3m, No. 221

Here is a relaxed CeSm4Y crystal from the Alexandria database. Energies are from PBE-GGA.

```
data_CeSm4Y
_cell_length_a 6.076
_cell_length_b 6.076
_cell_length_c 11.640
_cell_angle_alpha 118.55
_cell_angle_beta 118.55
_cell_angle_gamma 32.68
_symmetry_space_group_name_H-M 'P 1'
_symmetry_Int_Tables_number 1
_symmetry_space_group_name_Hall 'P 1'
loop_
_atom_site_label
_atom_site_fract_x
_atom_site_fract_y
_atom_site_fract_z
Ce1 0.000 0.000 0.000
Sm1 0.158 0.158 0.342
Sm2 0.345 0.345 0.155
Sm3 0.655 0.655 0.845
Sm4 0.842 0.842 0.658
Y1 0.500 0.500 0.500
```

Energy relative to the lowest polymorph listed for this composition (meV/atom): 0.0
SG: C2/m, No. 12
Formation energy (eV/atom): 0.2156

Here is a relaxed ZrFe2SbIr crystal from the Alexandria database. Energies are from PBE-GGA.

```
data_ZrFe2SbIr
_cell_length_a 4.479
_cell_length_b 4.479
_cell_length_c 5.327
_cell_angle_alpha 90.00
_cell_angle_beta 90.00
_cell_angle_gamma 90.00
_symmetry_space_group_name_H-M 'P 1'
_symmetry_Int_Tables_number 1
_symmetry_space_group_name_Hall 'P 1'
loop_
_atom_site_label
_atom_site_fract_x
_atom_site_fract_y
_atom_site_fract_z
Zr1 0.000 0.000 0.000
Fe1 0.000 0.500 0.000
Fe2 0.500 0.000 0.000
Sb1 0.000 0.000 0.500
Ir1 0.500 0.500 0.500
```

Calculated total energy (eV/atom): -6.056
SG: P4/mmm, No. 123

Here is a relaxed Tm4Tl5Pb crystal from the Alexandria database. Energies are from PBE-GGA.

```
data_Tm4Tl5Pb
_cell_length_a 8.983
_cell_length_b 8.983
_cell_length_c 6.638
_cell_angle_alpha 105.33
_cell_angle_beta 105.33
_cell_angle_gamma 31.49
_symmetry_space_group_name_H-M 'P 1'
_symmetry_Int_Tables_number 1
_symmetry_space_group_name_Hall 'P 1'
loop_
_atom_site_label
_atom_site_fract_x
_atom_site_fract_y
_atom_site_fract_z
Tm1 0.085 0.085 0.328
Tm2 0.301 0.301 0.883
Tm3 0.699 0.699 0.117
Tm4 0.915 0.915 0.672
Tl1 0.110 0.110 0.832
Tl2 0.295 0.295 0.394
Tl3 0.500 0.500 0.500
Tl4 0.705 0.705 0.606
Tl5 0.890 0.890 0.168
Pb1 0.500 0.500 0.000
```

SG: C2/m, No. 12
Formation energy (eV/atom): -0.2561

| no. | calculated density (g/cm³) | M_tot (μB per cell) |
| --- | --- | --- |
| 1 | 5.01 | 13.95 |
| 2 | 3.93 | 0.00 |
| 3 | 3.42 | 0.00 |
| 4 | 8.64 | 0.00 |
| 5 | 6.15 | 0.01 |
| 6 | 7.24 | 0.00 |
| 7 | 14.76 | 56.44 |
| 8 | 3.59 | 0.00 |
| 9 | 5.52 | 13.51 |
| 10 | 6.85 | 1.25 |
| 11 | 8.03 | 4.46 |
| 12 | 11.76 | 0.00 |